No. 1
First-principles (PBE-GGA) data for TbDy3Sc7 after structural relaxation, as listed in the Alexandria database.

```
11
Lattice="5.433 -0.204 -0.262 -2.397 7.519 1.130 -2.397 -0.726 7.569" Properties=species:S:1:pos:R:3 pbc="T T T"
Sc -2.217 3.687 7.976
Sc 0.136 1.364 1.747
Sc -2.217 6.844 5.511
Sc 2.856 -0.255 2.927
Sc -2.397 3.397 4.350
Sc 2.856 2.901 0.462
Sc 0.504 5.224 6.690
Dy -2.397 5.777 2.491
Dy -2.397 1.016 6.208
Dy 2.716 -0.102 -0.131
Tb 0.320 3.294 4.219
```

Values from the calculation:
**Total magnetic moment**: 0.2 μB/f.u.
**ρ**: 5.23 g/cm³
**Total DFT energy (no corrections)**: -5.410 eV/atom
**Fermi-level density of states**: 17.04 states/eV/f.u.
**DFT formation energy**: 0.30 eV per atom

=====

No. 2
First-principles (PBE-GGA) data for Tb3Dy2Sc2 after structural relaxation, as listed in the Alexandria database.

```
14
Lattice="-6.158 1.804 -0.217 -1.297 -5.486 -8.806 -1.833 -4.991 3.380" Properties=species:S:1:pos:R:3 pbc="T T T"
Dy -2.147 -1.674 -1.844
Dy -7.141 -7.000 -3.799
Dy -5.206 -0.684 -1.811
Dy -4.082 -7.990 -3.832
Tb -2.077 -6.090 -1.371
Tb -7.211 -2.584 -4.272
Tb -4.627 -5.578 -7.522
Tb 0.000 0.000 0.000
Tb -3.728 -1.841 -4.511
Tb -4.661 -3.095 1.879
Sc -4.591 -4.925 -4.270
Sc -4.697 -3.749 -1.373
Sc -1.347 -3.505 0.575
Sc -7.941 -5.169 -6.218
```

Values from the calculation:
**Total magnetic moment**: 0.0 μB/f.u.
**ρ**: 7.01 g/cm³
**Total DFT energy (no corrections)**: -4.893 eV/atom
**Fermi-level density of states**: 11.03 states/eV/f.u.
**DFT formation energy**: 0.21 eV per atom
**Distance to the lowest polymorph of the same formula**: 1.25 eV/f.u.

=====

No. 3
First-principles (PBE-GGA) data for Tb2DySc2 after structural relaxation, as listed in the Alexandria database.

```
20
Lattice="-3.232 -2.625 4.316 4.319 -5.408 -0.055 8.923 7.044 8.205" Properties=species:S:1:pos:R:3 pbc="T T T"
Sc 4.191 2.191 5.171
Sc 7.336 4.653 9.049
Sc 3.658 -0.478 7.316
Sc 3.218 -2.986 1.273
Sc 5.820 -3.180 7.295
Sc 6.792 1.997 11.193
Sc 2.675 -5.642 3.417
Sc 6.353 -0.511 5.151
Tb 8.976 -0.700 11.146
Tb 0.504 -2.960 3.465
Tb 4.677 2.524 8.487
Tb 7.355 2.506 6.315
Tb 2.656 -3.495 6.151
Tb 1.034 -0.289 1.320
Tb 9.507 1.972 9.002
Tb 5.334 -3.513 3.979
Dy 9.509 -0.233 6.308
Dy 3.210 -0.811 3.986
Dy 6.801 -0.178 8.480
Dy 0.502 -0.756 6.158
```

Values from the calculation:
**Total magnetic moment**: 0.0 μB/f.u.
**ρ**: 6.58 g/cm³
**Total DFT energy (no corrections)**: -5.257 eV/atom
**Fermi-level density of states**: 7.75 states/eV/f.u.
**DFT formation energy**: 0.05 eV per atom
**Distance to the lowest polymorph of the same formula**: 0.00 eV/f.u.

=====

No. 4
First-principles (PBE-GGA) data for Tb3Dy2Sc4 after structural relaxation, as listed in the Alexandria database.

```
18
Lattice="-5.070 -3.465 1.634 3.600 -8.396 1.682 -0.480 1.124 9.208" Properties=species:S:1:pos:R:3 pbc="T T T"
Sc 0.334 -1.449 0.580
Sc 0.360 -6.002 8.622
Sc -1.862 -8.464 8.862
Sc -2.284 -9.288 11.944
Sc -2.310 -4.735 3.903
Sc -0.088 -2.273 3.662
Sc 0.788 -8.809 10.137
Sc -2.738 -1.928 2.388
Tb -0.081 -7.329 2.619
Tb 0.483 -4.947 5.502
Tb -5.091 -3.285 8.003
Tb -1.869 -3.408 9.905
Tb -2.433 -5.790 7.022
Tb 3.141 -7.452 4.522
Dy 0.106 -8.184 6.275
Dy 1.092 -2.837 8.316
Dy -2.056 -2.553 6.249
Dy -3.042 -7.900 4.209
```

Values from the calculation:
**Total magnetic moment**: 0.0 μB/f.u.
**ρ**: 6.28 g/cm³
**Total DFT energy (no corrections)**: -5.271 eV/atom
**Fermi-level density of states**: 14.55 states/eV/f.u.
**DFT formation energy**: 0.11 eV per atom

=====

No. 5
First-principles (PBE-GGA) data for Tb3Dy2Sc after structural relaxation, as listed in the Alexandria database.

```
12
Lattice="4.710 0.000 -1.558 -1.558 8.580 -4.708 0.445 -0.572 9.240" Properties=species:S:1:pos:R:3 pbc="T T T"
Tb 1.965 2.145 -1.956
Tb 1.186 6.435 -4.310
Tb 0.277 3.372 0.838
Tb 4.098 0.346 4.489
Tb -0.501 7.662 -1.516
Tb 3.319 4.636 2.135
Dy 0.580 6.788 1.748
Dy 1.356 2.497 4.103
Dy 3.017 1.220 1.226
Dy 2.240 5.511 -1.129
Sc -0.779 4.290 -2.354
Sc 0.000 0.000 0.000
```

Values from the calculation:
**Total magnetic moment**: 0.0 μB/f.u.
**ρ**: 7.70 g/cm³
**Total DFT energy (no corrections)**: -4.872 eV/atom
**Fermi-level density of states**: 8.51 states/eV/f.u.
**DFT formation energy**: 0.03 eV per atom
**Distance to the lowest polymorph of the same formula**: 0.00 eV/f.u.

=====

No. 6
First-principles (PBE-GGA) data for Tb6Dy5Sc after structural relaxation, as listed in the Alexandria database.

```
12
Lattice="-5.846 10.077 -0.887 -2.115 0.507 5.715 3.308 2.907 4.238" Properties=species:S:1:pos:R:3 pbc="T T T"
Tb -1.594 3.754 4.537
Tb -3.478 8.587 1.205
Tb -1.975 2.623 1.202
Tb -3.060 9.738 4.529
Tb -1.175 4.905 7.862
Tb -5.987 7.961 3.627
Dy 0.796 2.277 6.636
Dy -3.585 6.429 5.732
Dy 0.397 1.138 3.318
Dy -3.981 5.292 2.414
Dy -1.068 7.063 3.335
Sc 0.000 0.000 0.000
```

Values from the calculation:
**Total magnetic moment**: 0.0 μB/f.u.
**ρ**: 8.08 g/cm³
**Total DFT energy (no corrections)**: -4.736 eV/atom
**Fermi-level density of states**: 15.89 states/eV/f.u.
**DFT formation energy**: 0.02 eV per atom

=====

No. 7
First-principles (PBE-GGA) data for Tb5DySc6 after structural relaxation, as listed in the Alexandria database.

```
12
Lattice="-8.088 7.555 1.141 -1.523 -0.934 5.662 2.704 3.015 4.337" Properties=species:S:1:pos:R:3 pbc="T T T"
Sc -7.208 4.966 5.099
Sc -4.898 7.288 6.104
Sc -2.009 2.348 5.036
Sc -1.615 3.042 8.369
Sc -5.291 6.594 2.770
Sc -2.403 1.655 1.703
Tb 0.394 0.694 3.333
Tb -2.495 5.632 4.405
Tb 0.788 1.388 6.666
Tb -4.412 4.005 6.734
Tb -4.805 3.311 3.401
Dy 0.000 0.000 0.000
```

Values from the calculation:
**Total magnetic moment**: 0.0 μB/f.u.
**ρ**: 6.10 g/cm³
**Total DFT energy (no corrections)**: -5.423 eV/atom
**Fermi-level density of states**: 15.87 states/eV/f.u.
**DFT formation energy**: 0.06 eV per atom

=====

No. 8
First-principles (PBE-GGA) data for TbDy14Sc after structural relaxation, as listed in the Alexandria database.

```
16
Lattice="6.994 0.938 0.000 -0.938 6.993 0.000 0.000 0.000 9.960" Properties=species:S:1:pos:R:3 pbc="T T T"
Tb 6.002 1.695 0.000
Dy 0.065 6.227 7.493
Dy 2.505 1.225 4.980
Dy 6.003 1.695 4.980
Dy 0.533 2.753 2.468
Dy 0.065 6.227 2.467
Dy 2.506 1.227 0.000
Dy 5.532 5.191 0.000
Dy 3.539 6.692 2.468
Dy 4.007 3.218 2.470
Dy 4.007 3.218 7.490
Dy 0.533 2.753 7.492
Dy 3.539 6.692 7.492
Dy 5.533 5.192 4.980
Dy 2.035 4.723 4.980
Sc 2.036 4.723 0.000
```

Values from the calculation:
**Total magnetic moment**: 0.0 μB/f.u.
**ρ**: 8.30 g/cm³
**Total DFT energy (no corrections)**: -4.690 eV/atom
**Fermi-level density of states**: 19.19 states/eV/f.u.
**DFT formation energy**: 0.02 eV per atom

=====

No. 9
First-principles (PBE-GGA) data for TbDy3Sc6 after structural relaxation, as listed in the Alexandria database.

```
10
Lattice="-6.830 -6.151 -1.167 0.968 -6.893 -6.116 -0.460 -6.515 0.251" Properties=species:S:1:pos:R:3 pbc="T T T"
Sc -5.307 -10.167 -1.078
Sc -2.406 -12.710 -4.754
Sc -5.750 -11.395 -4.455
Sc -0.858 -9.583 -5.718
Sc -0.448 -8.381 -2.343
Sc -3.793 -7.032 -2.017
Dy -2.706 -10.441 -2.698
Dy -1.121 -5.557 -0.933
Dy -3.820 -8.824 -4.697
Tb -5.407 -13.705 -6.466
```

Values from the calculation:
**Total magnetic moment**: 0.0 μB/f.u.
**ρ**: 5.45 g/cm³
**Total DFT energy (no corrections)**: -5.236 eV/atom
**Fermi-level density of states**: 22.07 states/eV/f.u.
**DFT formation energy**: 0.41 eV per atom
**Distance to the lowest polymorph of the same formula**: 2.49 eV/f.u.

=====

- Among the records above, which one has the highest total magnetic moment?
  TbDy3Sc7